(a)
A plane-wave DFT calculation with PBE was carried out for an optimized crystal structure of HgSb2S2.

Summary:
* calculated density: 5.94 Mg/m³
* volume: 284.16 Å³ per cell
* SG: P4/mbm (127)

abc: 8.9202 8.9202 3.5713
angles: 90.00 90.00 90.00
Positions (direct):
Sb 0.2321 0.7321 0.5000
Sb 0.7321 0.7679 0.5000
Sb 0.7679 0.2679 0.5000
Sb 0.2679 0.2321 0.5000
S 0.3697 0.8697 0.0000
S 0.8697 0.6303 0.0000
S 0.6303 0.1303 0.0000
S 0.1303 0.3697 0.0000
Hg 0.0000 0.0000 0.0000
Hg 0.5000 0.5000 0.0000

=====

(b)
A plane-wave DFT calculation with PBE was carried out for an optimized crystal structure of HgSb2S2.

Summary:
* calculated density: 6.16 Mg/m³
* volume: 274.19 Å³ per cell
* SG: P4/mbm (127)

abc: 8.6030 8.6030 3.7047
angles: 90.00 90.00 90.00
Positions (direct):
Sb 0.2817 0.7817 0.0000
Sb 0.7817 0.7183 0.0000
Sb 0.7183 0.2183 0.0000
Sb 0.2183 0.2817 0.0000
S 0.1412 0.6412 0.5000
S 0.6412 0.8588 0.5000
S 0.8588 0.3588 0.5000
S 0.3588 0.1412 0.5000
Hg 0.0000 0.0000 0.0000
Hg 0.5000 0.5000 0.0000

=====

Most stable one: (b), least stable one: (a).

=====

(a)
A plane-wave DFT calculation with PBE was carried out for an optimized crystal structure of HgSbTe2S.

Summary:
* calculated density: 6.73 Mg/m³
* volume: 150.38 Å³ per cell
* SG: P4/mmm (123)

abc: 5.3241 5.3241 5.3050
angles: 90.00 90.00 90.00
Positions (direct):
Sb 0.0000 0.0000 0.5000
S 0.0000 0.0000 0.0000
Te 0.0000 0.5000 0.0000
Te 0.5000 0.0000 0.0000
Hg 0.5000 0.5000 0.5000

=====

(b)
A plane-wave DFT calculation with PBE was carried out for an optimized crystal structure of HgSbTe2S.

Summary:
* calculated density: 5.78 Mg/m³
* volume: 175.07 Å³ per cell
* SG: P4/mmm (123)

abc: 5.5631 5.5631 5.6569
angles: 90.00 90.00 90.00
Site moments in Bohr magnetons follow the coordinates.
Positions (direct):
Sb 0.0000 0.0000 0.5000  -0.06
S 0.5000 0.5000 0.5000  0.70
Te 0.0000 0.5000 0.0000  0.14
Te 0.5000 0.0000 0.0000  0.14
Hg 0.0000 0.0000 0.0000  0.01

=====

Most stable one: (a), least stable one: (b).

=====

(a)
A plane-wave DFT calculation with PBE was carried out for an optimized crystal structure of HgSb2TeS.

Summary:
* calculated density: 6.71 Mg/m³
* volume: 149.45 Å³ per cell
* SG: P4/mmm (123)

abc: 5.3171 5.3171 5.2863
angles: 90.00 90.00 90.00
Positions (direct):
Sb 0.0000 0.5000 0.0000
Sb 0.5000 0.0000 0.0000
S 0.0000 0.0000 0.0000
Te 0.0000 0.0000 0.5000
Hg 0.5000 0.5000 0.5000

=====

(b)
A plane-wave DFT calculation with PBE was carried out for an optimized crystal structure of HgSb2TeS.

Summary:
* calculated density: 5.87 Mg/m³
* volume: 170.80 Å³ per cell
* SG: P4/mmm (123)

abc: 5.5867 5.5867 5.4724
angles: 90.00 90.00 90.00
Positions (direct):
Sb 0.0000 0.5000 0.0000
Sb 0.5000 0.0000 0.0000
S 0.5000 0.5000 0.5000
Te 0.0000 0.0000 0.5000
Hg 0.0000 0.0000 0.0000

=====

Most stable one: (a), least stable one: (b).

=====

(a)
A plane-wave DFT calculation with PBE was carried out for an optimized crystal structure of ScHgS3.

Summary:
* calculated density: 4.69 Mg/m³
* volume: 121.10 Å³ per cell
* SG: Pm-3m (221)

abc: 4.9475 4.9475 4.9475
angles: 90.00 90.00 90.00
Positions (direct):
Sc 0.0000 0.0000 0.0000
S 0.0000 0.5000 0.0000
S 0.0000 0.0000 0.5000
S 0.5000 0.0000 0.0000
Hg 0.5000 0.5000 0.5000

=====

(b)
A plane-wave DFT calculation with PBE was carried out for an optimized crystal structure of ScHgS3.

Summary:
* calculated density: 4.79 Mg/m³
* volume: 118.58 Å³ per cell
* SG: Pm-3m (221)

abc: 4.9128 4.9128 4.9128
angles: 90.00 90.00 90.00
Positions (direct):
Sc 0.5000 0.5000 0.5000
S 0.0000 0.5000 0.0000
S 0.0000 0.0000 0.5000
S 0.5000 0.0000 0.0000
Hg 0.0000 0.0000 0.0000

=====

Most stable one: (a), least stable one: (b).

=====

(a)
A plane-wave DFT calculation with PBE was carried out for an optimized crystal structure of Sc3HgS.

Summary:
* calculated density: 5.52 Mg/m³
* volume: 110.50 Å³ per cell
* SG: Pm-3m (221)

abc: 4.7986 4.7986 4.7986
angles: 90.00 90.00 90.00
Positions (direct):
Sc 0.0000 0.5000 0.0000
Sc 0.0000 0.0000 0.5000
Sc 0.5000 0.0000 0.0000
S 0.0000 0.0000 0.0000
Hg 0.5000 0.5000 0.5000

=====

(b)
A plane-wave DFT calculation with PBE was carried out for an optimized crystal structure of Sc3HgS.

Summary:
* calculated density: 5.81 Mg/m³
* volume: 420.48 Å³ per cell
* SG: Pnma (62)

abc: 3.6385 8.3696 13.8076
angles: 90.00 90.00 90.00
Positions (direct):
Sc 0.2500 0.3358 0.5158
Sc 0.7500 0.7964 0.2183
Sc 0.7500 0.5299 0.8896
Sc 0.7500 0.0299 0.6104
Sc 0.7500 0.6642 0.4842
Sc 0.2500 0.9701 0.3896
Sc 0.2500 0.8358 0.9842
Sc 0.7500 0.2964 0.2817
Sc 0.2500 0.7036 0.7183
Sc 0.2500 0.2036 0.7817
Sc 0.7500 0.1642 0.0158
Sc 0.2500 0.4701 0.1104
Hg 0.7500 0.9275 0.8250
Hg 0.2500 0.0725 0.1750
Hg 0.7500 0.4275 0.6750
Hg 0.2500 0.5725 0.3250
S 0.2500 0.3371 0.9443
S 0.2500 0.8371 0.5557
S 0.7500 0.1629 0.4443
S 0.7500 0.6629 0.0557

=====

Most stable one: (b), least stable one: (a).

=====

(a)
A plane-wave DFT calculation with PBE was carried out for an optimized crystal structure of Hg2Se2S.

Summary:
* calculated density: 7.81 Mg/m³
* volume: 251.39 Å³ per cell
* SG: P4/mbm (127)

abc: 7.5238 7.5238 4.4409
angles: 90.00 90.00 90.00
Positions (direct):
S 0.0000 0.0000 0.0000
S 0.5000 0.5000 0.0000
Hg 0.1295 0.6295 0.5000
Hg 0.6295 0.8705 0.5000
Hg 0.8705 0.3705 0.5000
Hg 0.3705 0.1295 0.5000
Se 0.2746 0.7746 0.0000
Se 0.7746 0.7254 0.0000
Se 0.7254 0.2254 0.0000
Se 0.2254 0.2746 0.0000

=====

(b)
A plane-wave DFT calculation with PBE was carried out for an optimized crystal structure of Hg2Se2S.

Summary:
* calculated density: 7.44 Mg/m³
* volume: 132.01 Å³ per cell
* SG: I4/mmm (139)

abc: 4.5283 4.5283 7.1901
angles: 71.65 71.65 90.00
Site moments in Bohr magnetons follow the coordinates.
Positions (direct):
S 0.0000 0.0000 0.0000  0.89
Hg 0.7500 0.2500 0.5000  0.02
Hg 0.2500 0.7500 0.5000  0.02
Se 0.3789 0.3789 0.2422  0.15
Se 0.6211 0.6211 0.7578  0.15

=====

Most stable one: (a), least stable one: (b).

=====

(a)
A plane-wave DFT calculation with PBE was carried out for an optimized crystal structure of Hg2SeS.

Summary:
* calculated density: 9.08 Mg/m³
* volume: 93.72 Å³ per cell
* SG: R3m (160)

abc: 3.9723 3.9723 7.2312
angles: 74.06 74.06 60.00
Positions (direct):
Hg 0.0855 0.0855 0.7436
Hg 0.2492 0.2492 0.2524
Se 0.6688 0.6688 0.9935
S 0.4965 0.4965 0.5106

=====

(b)
A plane-wave DFT calculation with PBE was carried out for an optimized crystal structure of Hg2SeS.

Summary:
* calculated density: 9.64 Mg/m³
* volume: 88.26 Å³ per cell
* SG: Fm-3m (225)

abc: 4.9975 4.9975 4.9975
angles: 60.00 60.00 60.00
Positions (direct):
S 0.0000 0.0000 0.0000
Hg 0.2500 0.2500 0.2500
Hg 0.7500 0.7500 0.7500
Se 0.5000 0.5000 0.5000

=====

(c)
A plane-wave DFT calculation with PBE was carried out for an optimized crystal structure of Hg2SeS.

Summary:
* calculated density: 7.13 Mg/m³
* volume: 119.32 Å³ per cell
* SG: R-3m (166)

abc: 4.1546 4.1546 8.3352
angles: 75.57 75.57 60.00
Site moments in Bohr magnetons follow the coordinates.
Positions (direct):
S 0.0000 0.0000 0.0000  0.24
Hg 0.1008 0.1008 0.6975  0.01
Hg 0.8992 0.8992 0.3025  0.01
Se 0.5000 0.5000 0.5000  0.01

=====

Most stable one: (a), least stable one: (b).

=====

(a)
A plane-wave DFT calculation with PBE was carried out for an optimized crystal structure of Hg2SeS.

Summary:
* calculated density: 7.37 Mg/m³
* volume: 115.33 Å³ per cell
* SG: Cm (8)

abc: 4.3314 4.3309 7.1002
angles: 90.01 90.00 120.02
Positions (direct):
Hg 0.7359 0.4949 0.0775
Hg 0.4027 0.8297 0.5563
Se 0.7360 0.4964 0.6948
S 0.4027 0.8284 0.1903

=====

(b)
A plane-wave DFT calculation with PBE was carried out for an optimized crystal structure of Hg2SeS.

Summary:
* calculated density: 7.39 Mg/m³
* volume: 230.20 Å³ per cell
* SG: I-42d (122)

abc: 6.1326 6.1326 7.5013
angles: 65.87 65.87 90.00
Positions (direct):
S 0.5000 0.5000 0.0000
S 0.2500 0.7500 0.5000
Hg 0.6107 0.1250 0.2500
Hg 0.1393 0.6250 0.2500
Hg 0.3750 0.3893 0.7500
Hg 0.8750 0.8607 0.7500
Se 0.0000 0.0000 0.0000
Se 0.7500 0.2500 0.5000

=====

Most stable one: (b), least stable one: (a).

=====

(a)
A plane-wave DFT calculation with PBE was carried out for an optimized crystal structure of HgSe2S.

Summary:
* calculated density: 5.72 Mg/m³
* volume: 113.47 Å³ per cell
* SG: R-3m (166)

abc: 10.3965 10.3965 10.3965
angles: 19.86 19.86 19.86
Positions (direct):
S 0.5000 0.5000 0.5000
Hg 0.0000 0.0000 0.0000
Se 0.8827 0.8827 0.8827
Se 0.1173 0.1173 0.1173

=====

(b)
A plane-wave DFT calculation with PBE was carried out for an optimized crystal structure of HgSe2S.

Summary:
* calculated density: 5.65 Mg/m³
* volume: 114.70 Å³ per cell
* SG: R-3m (166)

abc: 7.9937 7.9937 7.9937
angles: 30.23 30.23 30.23
Positions (direct):
S 0.0000 0.0000 0.0000
Hg 0.5000 0.5000 0.5000
Se 0.8988 0.8988 0.8988
Se 0.1012 0.1012 0.1012

=====

Most stable one: (b), least stable one: (a).

=====

(a)
A plane-wave DFT calculation with PBE was carried out for an optimized crystal structure of HgSe2S.

Summary:
* calculated density: 7.84 Mg/m³
* volume: 82.71 Å³ per cell
* SG: Fm-3m (225)

abc: 4.8905 4.8905 4.8905
angles: 60.00 60.00 60.00
Positions (direct):
S 0.0000 0.0000 0.0000
Hg 0.5000 0.5000 0.5000
Se 0.2500 0.2500 0.2500
Se 0.7500 0.7500 0.7500

=====

(b)
A plane-wave DFT calculation with PBE was carried out for an optimized crystal structure of HgSe2S.

Summary:
* calculated density: 5.85 Mg/m³
* volume: 221.76 Å³ per cell
* SG: I-42d (122)

abc: 5.5352 5.5352 8.2285
angles: 70.35 70.35 90.00
Positions (direct):
S 0.5000 0.5000 0.0000
S 0.2500 0.7500 0.5000
Hg 0.0000 0.0000 0.0000
Hg 0.7500 0.2500 0.5000
Se 0.5685 0.1250 0.2500
Se 0.1815 0.6250 0.2500
Se 0.3750 0.4315 0.7500
Se 0.8750 0.8185 0.7500

=====

Most stable one: (b), least stable one: (a).

=====

(a)
A plane-wave DFT calculation with PBE was carried out for an optimized crystal structure of Hg2SeS2.

Summary:
* calculated density: 7.45 Mg/m³
* volume: 242.78 Å³ per cell
* SG: P4/mbm (127)

abc: 7.4367 7.4367 4.3898
angles: 90.00 90.00 90.00
Positions (direct):
S 0.2639 0.7639 0.0000
S 0.7639 0.7361 0.0000
S 0.7361 0.2361 0.0000
S 0.2361 0.2639 0.0000
Hg 0.1288 0.6288 0.5000
Hg 0.6288 0.8712 0.5000
Hg 0.8712 0.3712 0.5000
Hg 0.3712 0.1288 0.5000
Se 0.0000 0.0000 0.0000
Se 0.5000 0.5000 0.0000

=====

(b)
A plane-wave DFT calculation with PBE was carried out for an optimized crystal structure of Hg2SeS2.

Summary:
* calculated density: 8.02 Mg/m³
* volume: 112.76 Å³ per cell
* SG: I4/mmm (139)

abc: 5.2471 5.2471 5.5262
angles: 61.66 61.66 90.00
Positions (direct):
S 0.3718 0.3718 0.2563
S 0.6282 0.6282 0.7437
Hg 0.7500 0.2500 0.5000
Hg 0.2500 0.7500 0.5000
Se 0.0000 0.0000 0.0000

=====

Most stable one: (a), least stable one: (b).

=====

(a)
A plane-wave DFT calculation with PBE was carried out for an optimized crystal structure of Si2HgS.

Summary:
* calculated density: 6.47 Mg/m³
* volume: 74.10 Å³ per cell
* SG: Fm-3m (225)

abc: 4.7146 4.7146 4.7146
angles: 60.00 60.00 60.00
Positions (direct):
S 0.0000 0.0000 0.0000
Si 0.2500 0.2500 0.2500
Si 0.7500 0.7500 0.7500
Hg 0.5000 0.5000 0.5000

=====

(b)
A plane-wave DFT calculation with PBE was carried out for an optimized crystal structure of Si2HgS.

Summary:
* calculated density: 5.15 Mg/m³
* volume: 186.22 Å³ per cell
* SG: I-42d (122)

abc: 5.7165 5.7165 6.9865
angles: 65.85 65.85 90.00
Positions (direct):
S 0.5000 0.5000 0.0000
S 0.2500 0.7500 0.5000
Si 0.6061 0.1250 0.2500
Si 0.1439 0.6250 0.2500
Si 0.3750 0.3939 0.7500
Si 0.8750 0.8561 0.7500
Hg 0.0000 0.0000 0.0000
Hg 0.7500 0.2500 0.5000

=====

Most stable one: (b), least stable one: (a).